# Ce2RhWN5 | Alexandria via LeMat-Bulk | PBE | optimized geometry
# DOS at the Fermi energy = 12.335 states/eV per cell
# Magnetic moment = 0.3 μB/f.u.
# Formation energy without anion corrections = -821.9 meV per atom
data_Ce2RhWN5
_space_group_name_H-M_alt 'P 1'
_space_group_IT_number 1
_cell_length_a 3.384
_cell_length_b 7.349
_cell_length_c 9.374
_cell_angle_alpha 90.00
_cell_angle_beta 90.00
_cell_angle_gamma 103.31
loop_
_space_group_symop_operation_xyz
'x,y,z'
loop_
_atom_site_label
_atom_site_fract_x
_atom_site_fract_y
_atom_site_fract_z
N1 0.983 0.966 0.551
N2 0.361 0.722 0.000
N3 0.017 0.034 0.051
N4 0.315 0.629 0.645
N5 0.306 0.613 0.367
N6 0.514 0.027 0.793
N7 0.685 0.371 0.145
N8 0.639 0.278 0.500
N9 0.486 0.973 0.293
N10 0.694 0.387 0.867
Ce1 0.861 0.722 0.180
Ce2 0.884 0.767 0.807
Ce3 0.139 0.278 0.680
Ce4 0.116 0.233 0.307
W1 0.433 0.866 0.477
W2 0.567 0.134 0.977
Rh1 0.787 0.573 0.504
Rh2 0.213 0.427 0.004